Entry 1:
Computed, not measured: a relaxed structure of Er2Ga3Co at the GGA-PBE level of DFT.

The structure in POSCAR format:
```
Er2Ga3Co
1.0
5.448 0.000 0.000
-2.724 4.718 0.000
0.000 0.000 8.387
Er Ga Co
4 6 2
Cartesian
0.000 3.145 0.435
0.000 3.145 3.759
2.724 1.573 4.628
2.724 1.573 7.953
0.000 1.532 6.290
-1.397 3.952 6.290
1.327 0.766 2.097
1.397 3.952 6.290
4.121 0.766 2.097
2.724 3.186 2.097
0.000 0.000 0.000
0.000 0.000 4.194
```

Output
symmetry: P6_3/mmc, No. 194
ΔE_f: -0.5351 eV per atom
D(E_F): 6.97 states/eV per cell

Entry 2:
Computed, not measured: a relaxed structure of Er8Ga2Co at the GGA-PBE level of DFT.

The structure in POSCAR format:
```
Er8Ga2Co
1.0
8.967 -2.444 0.000
8.967 2.444 0.000
-1.319 0.000 6.360
Er Ga Co
8 2 1
Cartesian
0.030 0.000 1.789
2.683 0.000 5.183
5.621 0.000 3.326
7.299 0.000 0.306
9.316 0.000 6.054
10.994 0.000 3.034
13.932 0.000 1.177
16.585 0.000 4.571
3.051 0.000 1.628
13.564 0.000 4.732
8.308 0.000 3.180
```

Output
symmetry: C2/m, No. 12
ΔE_f: -0.2476 eV per atom
D(E_F): 10.59 states/eV per cell

Entry 3:
Computed, not measured: a relaxed structure of Er2GaCo at the GGA-PBE level of DFT.

The structure in POSCAR format:
```
Er2GaCo
1.0
3.398 0.000 0.000
0.000 3.398 0.000
0.000 0.000 7.031
Er Ga Co
2 1 1
Cartesian
0.000 0.000 1.614
0.000 0.000 5.417
1.699 1.699 3.516
1.699 1.699 0.000
```

Output
symmetry: P4/mmm, No. 123
ΔE_f: -0.4068 eV per atom
D(E_F): 1.43 states/eV per cell

Entry 4:
Computed, not measured: a relaxed structure of Er2GaCo3 at the GGA-PBE level of DFT.

The structure in POSCAR format:
```
Er2GaCo3
1.0
5.201 0.000 0.000
-2.601 4.504 0.000
0.000 0.000 8.029
Er Ga Co
4 2 6
Cartesian
0.000 3.003 0.521
0.000 3.003 3.494
2.601 1.501 4.536
2.601 1.501 7.508
0.000 0.000 0.000
0.000 0.000 4.015
0.000 1.570 6.022
-1.241 3.719 6.022
1.360 0.785 2.007
1.241 3.719 6.022
3.841 0.785 2.007
2.601 2.934 2.007
```

Output
symmetry: P6_3/mmc, No. 194
ΔE_f: -0.3547 eV per atom
D(E_F): 16.42 states/eV per cell

Entry 5:
Computed, not measured: a relaxed structure of ErGa6Co4 at the GGA-PBE level of DFT.

The structure in POSCAR format:
```
ErGa6Co4
1.0
6.950 0.000 0.000
-3.475 6.019 0.000
0.000 0.000 3.865
Er Ga Co
1 6 4
Cartesian
0.000 0.000 0.000
0.000 2.344 1.933
-1.445 4.847 1.933
3.475 0.397 0.000
2.081 2.811 0.000
1.445 4.847 1.933
4.869 2.811 0.000
0.000 4.013 0.000
2.198 1.269 1.933
4.752 1.269 1.933
3.475 3.481 1.933
```

Output
symmetry: P-6m2, No. 187
ΔE_f: -0.2890 eV per atom
D(E_F): 7.98 states/eV per cell

Entry 6:
Computed, not measured: a relaxed structure of ErGa9Co2 at the GGA-PBE level of DFT.

The structure in POSCAR format:
```
ErGa9Co2
1.0
-5.451 5.451 3.283
5.451 -5.451 3.283
5.451 5.451 -3.283
Er Ga Co
2 18 4
Cartesian
5.451 2.725 0.821
0.000 2.725 2.463
4.149 -0.667 1.168
6.753 -0.667 1.168
5.451 -2.725 2.463
2.059 1.423 0.474
8.843 1.423 0.474
4.149 4.784 -1.168
1.302 -0.667 2.116
2.059 4.028 0.474
3.392 -1.423 3.758
2.059 6.874 -0.474
3.392 1.423 2.809
4.149 6.118 1.168
1.302 0.667 4.451
-3.392 4.028 2.809
3.392 4.028 2.809
0.000 8.176 0.821
-1.302 6.118 2.116
1.302 6.118 2.116
0.000 0.000 0.000
2.725 2.725 -1.642
2.725 -2.725 1.642
0.000 5.451 0.000
```

Output
symmetry: I4_1/amd, No. 141
ΔE_f: -0.1786 eV per atom
D(E_F): 12.87 states/eV per cell

Entry 7:
Computed, not measured: a relaxed structure of Er4Ga12Co at the GGA-PBE level of DFT.

The structure in POSCAR format:
```
Er4Ga12Co
1.0
-4.263 4.263 4.263
4.263 -4.263 4.263
4.263 4.263 -4.263
Er Ga Co
4 12 1
Cartesian
2.132 2.132 -2.132
2.132 -2.132 2.132
-2.132 2.132 2.132
2.132 2.132 2.132
2.410 0.000 0.000
6.117 0.000 0.000
4.263 2.132 0.000
4.263 0.000 2.132
0.000 2.410 0.000
0.000 0.000 2.410
2.132 4.263 0.000
2.132 0.000 4.263
0.000 6.117 0.000
0.000 0.000 6.117
0.000 4.263 2.132
0.000 2.132 4.263
0.000 0.000 0.000
```

Output
symmetry: Im-3m, No. 229
ΔE_f: -0.5451 eV per atom
D(E_F): 7.16 states/eV per cell

Entry 8:
Computed, not measured: a relaxed structure of Er2GaCo2 at the GGA-PBE level of DFT.

The structure in POSCAR format:
```
Er2GaCo2
1.0
-2.013 2.702 4.106
2.013 -2.702 4.106
2.013 2.702 -4.106
Er Ga Co
2 1 2
Cartesian
0.000 0.000 1.684
0.000 0.000 6.529
0.000 2.702 0.000
2.013 1.182 0.000
0.000 1.520 4.106
```

Output
symmetry: Immm, No. 71
ΔE_f: -0.4431 eV per atom
D(E_F): 4.20 states/eV per cell

Entry 9:
Computed, not measured: a relaxed structure of ErGa2Co3 at the GGA-PBE level of DFT.

The structure in POSCAR format:
```
ErGa2Co3
1.0
5.210 0.000 0.000
-2.605 4.512 0.000
0.000 0.000 3.745
Er Ga Co
1 2 3
Cartesian
0.000 0.000 0.000
0.000 3.008 0.000
2.605 1.504 0.000
-1.302 2.256 1.872
2.605 0.000 1.872
1.302 2.256 1.872
```

Output
symmetry: P6/mmm, No. 191
ΔE_f: -0.3664 eV per atom
D(E_F): 6.84 states/eV per cell

Entry 10:
Computed, not measured: a relaxed structure of Er2GaCo2 at the GGA-PBE level of DFT.

The structure in POSCAR format:
```
Er2GaCo2
1.0
4.655 -2.653 0.000
4.655 2.653 0.000
-1.866 0.000 7.275
Er Ga Co
4 2 4
Cartesian
1.702 1.856 6.213
4.809 1.856 4.699
2.635 -1.856 2.576
5.742 -1.856 1.061
4.189 0.708 1.819
3.256 -0.708 5.456
2.401 0.787 3.591
5.976 0.787 0.046
1.468 -0.787 7.228
5.043 -0.787 3.683
```

Output
symmetry: C2/c, No. 15
ΔE_f: -0.4427 eV per atom
D(E_F): 7.60 states/eV per cell

Entry 11:
Computed, not measured: a relaxed structure of Er3Ga2Co7 at the GGA-PBE level of DFT.

The structure in POSCAR format:
```
Er3Ga2Co7
1.0
2.557 1.476 7.823
-2.557 1.476 7.823
0.000 -2.953 7.823
Er Ga Co
3 2 7
Cartesian
0.000 0.000 0.000
0.000 0.000 3.289
0.000 0.000 20.181
0.000 0.000 7.825
0.000 0.000 15.644
-1.280 -0.739 9.788
0.000 -1.478 13.682
-1.280 0.739 13.682
0.000 0.000 11.735
1.280 -0.739 9.788
0.000 1.478 9.788
1.280 0.739 13.682
```

Output
symmetry: R-3m, No. 166
ΔE_f: -0.3298 eV per atom
D(E_F): 14.69 states/eV per cell

Entry 12:
Computed, not measured: a relaxed structure of ErGa3Co3 at the GGA-PBE level of DFT.

The structure in POSCAR format:
```
ErGa3Co3
1.0
6.370 0.000 0.000
0.000 6.370 0.000
0.000 0.000 6.370
Er Ga Co
2 6 6
Cartesian
0.000 0.000 0.000
3.185 3.185 3.185
0.000 1.593 3.185
0.000 4.778 3.185
1.593 3.185 0.000
3.185 0.000 1.593
3.185 0.000 4.778
4.778 3.185 0.000
0.000 3.185 1.593
0.000 3.185 4.778
1.593 0.000 3.185
3.185 1.593 0.000
3.185 4.778 0.000
4.778 0.000 3.185
```

Output
symmetry: Pm-3n, No. 223
ΔE_f: 0.2359 eV per atom
D(E_F): 9.61 states/eV per cell
polymorph energy (0 for the lowest one): 413 meV/atom

Entry 13:
Computed, not measured: a relaxed structure of Er4GaCo3 at the GGA-PBE level of DFT.

The structure in POSCAR format:
```
Er4GaCo3
1.0
3.939 0.000 0.000
0.000 4.074 0.000
0.000 0.000 10.181
Er Ga Co
4 1 3
Cartesian
0.000 0.000 0.000
0.000 2.037 2.829
1.969 0.000 4.913
1.969 2.037 7.898
0.000 0.000 7.115
0.000 2.037 5.747
1.969 0.000 1.930
1.969 2.037 0.857
```

Output
symmetry: Pmm2, No. 25
ΔE_f: -0.3152 eV per atom
D(E_F): 7.27 states/eV per cell

Entry 14:
Computed, not measured: a relaxed structure of Er2Ga4Co3 at the GGA-PBE level of DFT.

The structure in POSCAR format:
```
Er2Ga4Co3
1.0
0.000 4.514 6.236
2.609 0.000 6.236
2.609 4.514 0.000
Er Ga Co
2 4 3
Cartesian
2.609 4.514 1.550
2.609 4.514 10.923
2.609 2.981 4.297
2.609 2.981 8.175
2.609 6.047 4.297
2.609 6.047 8.175
1.304 2.257 0.000
1.304 2.257 6.236
2.609 4.514 6.236
```

Output
symmetry: Fmmm, No. 69
ΔE_f: -0.4239 eV per atom
D(E_F): 7.91 states/eV per cell

Entry 15:
Computed, not measured: a relaxed structure of Er5GaCo2 at the GGA-PBE level of DFT.

The structure in POSCAR format:
```
Er5GaCo2
1.0
-3.719 3.719 6.538
3.719 -3.719 6.538
3.719 3.719 -6.538
Er Ga Co
10 2 4
Cartesian
0.000 0.000 0.000
4.938 1.220 -1.785
1.220 2.499 -1.785
4.938 1.220 1.785
1.220 2.499 1.785
0.000 0.000 6.538
2.499 1.220 4.753
-1.220 2.499 4.753
2.499 1.220 8.322
-1.220 2.499 8.322
0.000 0.000 3.269
0.000 0.000 9.806
2.757 0.962 0.000
2.757 -0.962 6.538
0.962 4.680 0.000
0.962 2.757 6.538
```

Output
symmetry: I4/mcm, No. 140
ΔE_f: -0.3122 eV per atom
D(E_F): 17.01 states/eV per cell

Entry 16:
Computed, not measured: a relaxed structure of ErGa4Co4 at the GGA-PBE level of DFT.

The structure in POSCAR format:
```
ErGa4Co4
1.0
5.486 0.000 0.000
0.000 5.486 0.000
0.000 0.000 8.699
Er Ga Co
2 8 8
Cartesian
1.372 4.115 2.175
4.115 1.372 6.524
0.130 1.372 0.432
1.372 0.130 4.781
1.372 2.613 4.781
2.613 1.372 0.432
2.873 4.115 8.267
4.115 2.873 3.918
4.115 5.356 3.918
5.356 4.115 8.267
0.199 1.372 2.890
1.372 0.199 7.240
1.372 2.544 7.240
2.544 1.372 2.890
2.942 4.115 5.808
4.115 2.942 1.459
4.115 5.287 1.459
5.287 4.115 5.808
```

Output
symmetry: P4_2/nmc, No. 137
ΔE_f: -0.2846 eV per atom
D(E_F): 11.69 states/eV per cell

Entry 17:
Computed, not measured: a relaxed structure of ErGa3Co3 at the GGA-PBE level of DFT.

The structure in POSCAR format:
```
ErGa3Co3
1.0
7.764 0.000 0.000
-3.882 6.724 0.000
0.000 0.000 4.182
Er Ga Co
2 6 6
Cartesian
0.000 4.483 1.046
3.882 2.241 3.137
-0.918 2.636 3.137
-1.140 6.201 3.137
1.824 2.113 1.046
2.058 4.611 3.137
5.023 0.523 1.046
4.800 4.088 1.046
-0.485 1.401 1.046
-2.426 6.444 1.046
0.971 1.121 3.137
2.912 5.603 1.046
6.309 0.280 3.137
4.368 5.323 3.137
```

Output
symmetry: P6_3/m, No. 176
ΔE_f: -0.1775 eV per atom
D(E_F): 13.92 states/eV per cell
polymorph energy (0 for the lowest one): 0 meV/atom

Entry 18:
Computed, not measured: a relaxed structure of Er3Ga3Co2 at the GGA-PBE level of DFT.

The structure in POSCAR format:
```
Er3Ga3Co2
1.0
2.088 -5.207 0.000
2.088 5.207 0.000
0.000 0.000 14.017
Er Ga Co
6 6 4
Cartesian
2.088 4.314 8.522
2.088 4.314 12.503
2.088 1.398 10.513
2.088 -1.398 3.504
2.088 -4.314 1.514
2.088 -4.314 5.495
2.088 1.748 3.504
2.088 1.279 7.577
2.088 1.279 13.448
2.088 -1.279 0.569
2.088 -1.279 6.440
2.088 -1.748 10.513
2.088 2.974 1.264
2.088 2.974 5.744
2.088 -2.974 8.273
2.088 -2.974 12.753
```

Output
symmetry: Cmcm, No. 63
ΔE_f: -0.5247 eV per atom
D(E_F): 12.18 states/eV per cell
polymorph energy (0 for the lowest one): 0 meV/atom

Entry 19:
Computed, not measured: a relaxed structure of ErGa6Co6 at the GGA-PBE level of DFT.

The structure in POSCAR format:
```
ErGa6Co6
1.0
-2.519 4.081 4.301
2.519 -4.081 4.301
2.519 4.081 -4.301
Er Ga Co
1 6 6
Cartesian
0.000 0.000 0.000
2.519 0.000 1.581
0.000 2.780 0.000
0.000 0.000 2.956
0.000 0.000 5.645
0.000 5.382 0.000
0.000 4.081 2.719
1.260 2.041 -2.150
1.260 -2.041 2.150
2.519 1.957 0.000
-1.260 2.041 2.150
1.260 2.041 2.150
0.000 2.124 4.301
```

Output
symmetry: Immm, No. 71
ΔE_f: -0.3344 eV per atom
D(E_F): 17.65 states/eV per cell

Entry 20:
Computed, not measured: a relaxed structure of Er2Ga6Co9 at the GGA-PBE level of DFT.

The structure in POSCAR format:
```
Er2Ga6Co9
1.0
5.093 0.000 0.000
-2.546 4.411 0.000
0.000 0.000 11.666
Er Ga Co
2 6 9
Cartesian
0.000 0.000 1.933
0.000 0.000 9.732
0.000 2.940 1.906
0.000 2.940 5.833
0.000 2.940 9.760
2.546 1.470 1.906
2.546 1.470 5.833
2.546 1.470 9.760
-1.273 2.205 0.000
-1.273 2.205 3.850
-1.273 2.205 7.816
2.546 0.000 0.000
2.546 0.000 3.850
2.546 0.000 7.816
1.273 2.205 0.000
1.273 2.205 3.850
1.273 2.205 7.816
```

Output
symmetry: P6/mmm, No. 191
ΔE_f: -0.1494 eV per atom
D(E_F): 22.89 states/eV per cell

| no. | final energy (eV/atom) |
| --- | --- |
| 1 | -4.754 |
| 2 | -4.762 |
| 3 | -5.221 |
| 4 | -5.933 |
| 5 | -4.939 |
| 6 | -4.013 |
| 7 | -4.173 |
| 8 | -5.716 |
| 9 | -5.689 |
| 10 | -5.716 |
| 11 | -6.120 |
| 12 | -4.758 |
| 13 | -5.640 |
| 14 | -5.152 |
| 15 | -5.319 |
| 16 | -5.295 |
| 17 | -5.172 |
| 18 | -5.147 |
| 19 | -5.362 |
| 20 | -5.516 |